<A>
PdPtRh2 after structural relaxation, computed with GGA-PBE.

The space group is I-4m2 (No. 119) and the conventional cell measures 3.893, 3.893 and 7.814 Å, with angles of 90.00, 90.00 and 90.00 degrees. The inequivalent atoms are Pd at (0.000, 0.000, 0.000), Pt at (0.000, 0.500, 0.750), Rh at (0.000, 0.000, 0.500) and Rh at (0.000, 0.500, 0.250).

The density of states at the Fermi level is 12.855 states/eV per cell. The value obtained for the total magnetization is 0.002 μB/atom.

=====

<B>
PdPtRh2 after structural relaxation, computed with GGA-PBE.

The space group is Fm-3m (No. 225) and the conventional cell measures 6.228, 6.228 and 6.228 Å, with angles of 90.00, 90.00 and 90.00 degrees. The inequivalent atoms are Pd at (0.000, 0.000, 0.000), Pt at (0.000, 0.000, 0.500) and Rh at (0.250, 0.250, 0.250).

The density of states at the Fermi level is 21.307 states/eV per cell. The value obtained for the total magnetization is 0.197 μB/atom.

=====

<C>
PdPtRh2 after structural relaxation, computed with GGA-PBE.

The space group is I-42d (No. 122) and the conventional cell measures 6.985, 6.985 and 5.384 Å, with angles of 90.00, 90.00 and 90.00 degrees. The inequivalent atoms are Pd at (0.000, 0.000, 0.000), Pt at (0.000, 0.000, 0.500) and Rh at (0.243, 0.250, 0.625).

The density of states at the Fermi level is 27.946 states/eV per cell. The value obtained for the total magnetization is 0.000 μB/atom.

=====

<D>
PdPtRh2 after structural relaxation, computed with GGA-PBE.

The space group is P4mm (No. 99) and the conventional cell measures 2.753, 2.753 and 7.825 Å, with angles of 90.00, 90.00 and 90.00 degrees. The inequivalent atoms are Pd at (0.000, 0.000, 0.000), Pt at (0.500, 0.500, 0.737), Rh at (0.000, 0.000, 0.485) and Rh at (0.500, 0.500, 0.253).

The density of states at the Fermi level is 7.036 states/eV per cell. The value obtained for the total magnetization is 0.000 μB/atom.

=====

<D> (14 meV per atom below the next structure)

=====

<A>
PdPtRh2 after structural relaxation, computed with GGA-PBE.

The space group is F-43m (No. 216) and the conventional cell measures 6.229, 6.229 and 6.229 Å, with angles of 90.00, 90.00 and 90.00 degrees. The inequivalent atoms are Pd at (0.000, 0.000, 0.000), Pt at (0.250, 0.250, 0.750), Rh at (0.000, 0.000, 0.500) and Rh at (0.250, 0.250, 0.250).

The density of states at the Fermi level is 34.709 states/eV per cell. The value obtained for the total magnetization is 0.144 μB/atom.

=====

<B>
PdPtRh2 after structural relaxation, computed with GGA-PBE.

The space group is P4/mmm (No. 123) and the conventional cell measures 3.912, 3.912 and 3.873 Å, with angles of 90.00, 90.00 and 90.00 degrees. The inequivalent atoms are Pd at (0.000, 0.000, 0.000), Pt at (0.500, 0.500, 0.000) and Rh at (0.000, 0.500, 0.500).

The density of states at the Fermi level is 8.294 states/eV per cell. The value obtained for the total magnetization is 0.000 μB/atom.

=====

<B> (175 meV per atom below the next structure)

=====

<A>
PdPt4Rh4 after structural relaxation, computed with GGA-PBE.

The space group is I4/mmm (No. 139) and the conventional cell measures 8.317, 8.317 and 3.891 Å, with angles of 90.00, 90.00 and 90.00 degrees. The inequivalent atoms are Pd at (0.000, 0.000, 0.000), Pt at (0.000, 0.330, 0.000) and Rh at (0.167, 0.167, 0.500).

The density of states at the Fermi level is 34.325 states/eV per cell. The value obtained for the total magnetization is 0.001 μB/atom.

=====

<B>
PdPt4Rh4 after structural relaxation, computed with GGA-PBE.

The space group is P4_2/nmc (No. 137, origin choice 2) and the conventional cell measures 6.153, 6.153 and 8.767 Å, with angles of 90.00, 90.00 and 90.00 degrees. The inequivalent atoms are Pd at (0.250, 0.750, 0.250), Pt at (0.035, 0.250, 0.115) and Rh at (0.037, 0.250, 0.400).

The density of states at the Fermi level is 33.081 states/eV per cell. The value obtained for the total magnetization is 0.000 μB/atom.

=====

<A> (641 meV per atom below the next structure)

=====

<A>
Pd2PtRh after structural relaxation, computed with GGA-PBE.

The space group is F-43m (No. 216) and the conventional cell measures 6.253, 6.253 and 6.253 Å, with angles of 90.00, 90.00 and 90.00 degrees. The inequivalent atoms are Pd at (0.000, 0.000, 0.000), Pd at (0.250, 0.250, 0.250), Pt at (0.000, 0.000, 0.500) and Rh at (0.250, 0.250, 0.750).

The density of states at the Fermi level is 16.656 states/eV per cell. The value obtained for the total magnetization is 0.000 μB/atom.

=====

<B>
Pd2PtRh after structural relaxation, computed with GGA-PBE.

The space group is Fm-3m (No. 225) and the conventional cell measures 6.255, 6.255 and 6.255 Å, with angles of 90.00, 90.00 and 90.00 degrees. The inequivalent atoms are Pd at (0.250, 0.250, 0.250), Pt at (0.000, 0.000, 0.000) and Rh at (0.000, 0.000, 0.500).

The density of states at the Fermi level is 25.599 states/eV per cell. The value obtained for the total magnetization is 0.032 μB/atom.

=====

<A> (33 meV per atom below the next structure)

=====

<A>
Pd2PtRh after structural relaxation, computed with GGA-PBE.

The space group is P4/mmm (No. 123) and the conventional cell measures 2.774, 2.774 and 7.843 Å, with angles of 90.00, 90.00 and 90.00 degrees. The inequivalent atoms are Pd at (0.000, 0.000, 0.244), Pt at (0.500, 0.500, 0.500) and Rh at (0.500, 0.500, 0.000).

The density of states at the Fermi level is 7.956 states/eV per cell. The value obtained for the total magnetization is 0.047 μB/atom.

=====

<B>
Pd2PtRh after structural relaxation, computed with GGA-PBE.

The space group is P6_3/mmc (No. 194) and the conventional cell measures 2.7710, 2.7710 and 18.1818 Å, with angles of 90.00, 90.00 and 120.00 degrees. The inequivalent atoms are Pd at (0.3333, 0.6667, 0.1219), Pt at (0.3333, 0.6667, 0.7500) and Rh at (0.0000, 0.0000, 0.0000).

The density of states at the Fermi level is 15.247 states/eV per cell. The value obtained for the total magnetization is 0.000 μB/atom.

=====

<B> (8 meV per atom below the next structure)